Compound: Ga3CuPt6
Source: Alexandria via LeMat-Bulk
Functional: PBE
Structure: optimized geometry

## Properties
Crystal system: orthorhombic
Raw total energy (eV/atom): -5.318
Volume (Å³ per atom): 16.3

```
Ga3CuPt6
1.0
4.419 -6.755 0.000
4.419 6.755 0.000
0.000 0.000 5.457
Ga Cu Pt
6 2 12
Direct
0.074 0.926 0.500
0.175 0.468 0.533
0.468 0.175 0.033
0.532 0.825 0.533
0.825 0.532 0.033
0.926 0.074 0.000
0.227 0.773 0.794
0.773 0.227 0.294
0.096 0.451 0.006
0.212 0.222 0.268
0.222 0.212 0.768
0.243 0.757 0.284
0.451 0.096 0.506
0.487 0.513 0.019
0.513 0.487 0.519
0.549 0.904 0.006
0.757 0.243 0.784
0.778 0.788 0.268
0.788 0.778 0.768
0.904 0.549 0.506
```



Compound: GaCu3Pt2
Source: Alexandria via LeMat-Bulk
Functional: PBE
Structure: optimized geometry

## Properties
Crystal system: monoclinic
Energy above the most stable polymorph in this dataset (meV per atom): 0
Raw total energy (eV/atom): -4.834
Volume (Å³ per atom): 13.7

```
GaCu3Pt2
1.0
3.453 -3.590 0.000
3.453 3.590 0.000
-1.847 0.000 6.638
Ga Cu Pt
2 6 4
Direct
0.088 0.912 0.750
0.912 0.088 0.250
0.177 0.345 0.991
0.345 0.177 0.491
0.423 0.577 0.750
0.577 0.423 0.250
0.655 0.823 0.509
0.823 0.655 0.009
0.121 0.635 0.377
0.365 0.879 0.123
0.635 0.121 0.877
0.879 0.365 0.623
```



Compound: GaCu3Pt12
Source: Alexandria via LeMat-Bulk
Functional: PBE
Structure: optimized geometry

## Properties
Crystal system: tetragonal
Raw total energy (eV/atom): -5.681
Volume (Å³ per atom): 15.0

```
GaCu3Pt12
1.0
3.912 0.000 0.000
0.000 3.912 0.000
0.000 0.000 15.662
Ga Cu Pt
1 3 12
Direct
0.000 0.000 0.000
0.000 0.000 0.252
0.000 0.000 0.500
0.000 0.000 0.748
0.000 0.500 0.127
0.000 0.500 0.376
0.000 0.500 0.624
0.000 0.500 0.873
0.500 0.000 0.127
0.500 0.000 0.376
0.500 0.000 0.624
0.500 0.000 0.873
0.500 0.500 0.000
0.500 0.500 0.251
0.500 0.500 0.500
0.500 0.500 0.749
```



Compound: GaCuPt3
Source: Alexandria via LeMat-Bulk
Functional: PBE
Structure: optimized geometry

## Properties
Crystal system: monoclinic
Energy above the most stable polymorph in this dataset (meV per atom): 0
Raw total energy (eV/atom): -5.425
Volume (Å³ per atom): 14.7

```
GaCuPt3
1.0
2.187 -7.791 0.000
2.187 7.791 0.000
-0.671 0.000 4.322
Ga Cu Pt
2 2 6
Direct
0.152 0.848 0.750
0.848 0.152 0.250
0.349 0.651 0.750
0.651 0.349 0.250
0.061 0.939 0.250
0.250 0.750 0.250
0.442 0.558 0.250
0.558 0.442 0.750
0.750 0.250 0.750
0.939 0.061 0.750
```



Compound: Ga6CuPt3
Source: Alexandria via LeMat-Bulk
Functional: PBE
Structure: optimized geometry

## Properties
Crystal system: monoclinic
Raw total energy (eV/atom): -4.444
Volume (Å³ per atom): 17.2

```
Ga6CuPt3
1.0
6.971 0.000 0.000
0.000 5.962 0.000
-4.888 0.000 8.271
Ga Cu Pt
12 2 6
Direct
0.084 0.030 0.293
0.084 0.470 0.793
0.270 0.170 0.610
0.270 0.330 0.110
0.391 0.619 0.569
0.391 0.881 0.069
0.609 0.119 0.931
0.609 0.381 0.431
0.730 0.670 0.890
0.730 0.830 0.390
0.916 0.530 0.207
0.916 0.970 0.707
0.500 0.000 0.500
0.500 0.500 0.000
0.000 0.000 0.000
0.000 0.500 0.500
0.293 0.681 0.271
0.293 0.819 0.771
0.707 0.181 0.229
0.707 0.319 0.729
```



Compound: GaCu4Pt5
Source: Alexandria via LeMat-Bulk
Functional: PBE
Structure: optimized geometry

## Properties
Crystal system: tetragonal
Raw total energy (eV/atom): -5.215
Volume (Å³ per atom): 14.1

```
GaCu4Pt5
1.0
2.846 0.000 0.000
0.000 2.846 0.000
0.000 0.000 17.436
Ga Cu Pt
1 4 5
Direct
0.000 0.000 0.000
0.000 0.000 0.203
0.000 0.000 0.401
0.000 0.000 0.599
0.000 0.000 0.797
0.500 0.500 0.099
0.500 0.500 0.302
0.500 0.500 0.500
0.500 0.500 0.698
0.500 0.500 0.901
```